(1)
Crystalline PuPaAgPd at its relaxed geometry. Source: Alexandria via LeMat-Bulk, functional GGA-PBE.

```
data_PuPaAgPd
_space_group_name_H-M_alt 'F -4 3 m'
_space_group_IT_number 216
_space_group_name_Hall 'F -4 2 3'
_cell_length_a 6.859
_cell_length_b 6.859
_cell_length_c 6.859
_cell_angle_alpha 90.00
_cell_angle_beta 90.00
_cell_angle_gamma 90.00
loop_
_atom_site_label
_atom_site_type_symbol
_atom_site_fract_x
_atom_site_fract_y
_atom_site_fract_z
_atom_site_occupancy
Pu1 Pu 0.000 0.000 0.000 1
Pa1 Pa 0.250 0.250 0.250 1
Ag1 Ag 0.250 0.250 0.750 1
Pd1 Pd 0.000 0.000 0.500 1
```

density: 14.19 g/cm3
energy above the lowest structure with this stoichiometry: 0 meV per atom
formation energy from the elements: -0.291 eV/atom


(2)
Crystalline Tl4InSn3 at its relaxed geometry. Source: Alexandria via LeMat-Bulk, functional GGA-PBE.

```
data_Tl4InSn3
_space_group_name_H-M_alt 'C 1 2/m 1'
_space_group_IT_number 12
_cell_length_a 18.166
_cell_length_b 5.187
_cell_length_c 5.153
_cell_angle_alpha 90.00
_cell_angle_beta 106.28
_cell_angle_gamma 90.00
loop_
_space_group_symop_operation_xyz
'x,y,z'
'-x,-y,-z'
'-x,y,-z'
'x,-y,z'
'x+1/2,y+1/2,z'
'-x+1/2,-y+1/2,-z'
'-x+1/2,y+1/2,-z'
'x+1/2,-y+1/2,z'
loop_
_atom_site_label
_atom_site_type_symbol
_atom_site_fract_x
_atom_site_fract_y
_atom_site_fract_z
_atom_site_occupancy
Tl1 Tl 0.120 0.000 0.121 1
Tl2 Tl 0.249 0.000 0.749 1
In1 In 0.000 0.000 0.500 1
Sn1 Sn 0.000 0.500 0.000 1
Sn2 Sn 0.118 0.500 0.619 1
```

density: 9.18 g/cm3
formation energy from the elements: 0.024 eV/atom


(3)
Crystalline YHoNi at its relaxed geometry. Source: Alexandria via LeMat-Bulk, functional GGA-PBE.

```
data_YHoNi
_space_group_name_H-M_alt 'I 4 m m'
_space_group_IT_number 107
_space_group_name_Hall 'I 4 -2'
_cell_length_a 3.402
_cell_length_b 3.402
_cell_length_c 12.432
_cell_angle_alpha 90.00
_cell_angle_beta 90.00
_cell_angle_gamma 90.00
loop_
_atom_site_label
_atom_site_type_symbol
_atom_site_fract_x
_atom_site_fract_y
_atom_site_fract_z
_atom_site_occupancy
Y1 Y 0.000 0.000 0.000 1
Ho1 Ho 0.000 0.000 0.262 1
Ni1 Ni 0.000 0.000 0.635 1
```

density: 7.21 g/cm3
energy above the lowest structure with this stoichiometry: 58 meV per atom
formation energy from the elements: -0.246 eV/atom


(4)
Crystalline Ca2CdBiO6 at its relaxed geometry. Source: Alexandria via LeMat-Bulk, functional GGA-PBE.

```
data_Ca2CdBiO6
_space_group_name_H-M_alt 'P 1 21/c 1'
_space_group_IT_number 14
_cell_length_a 5.722
_cell_length_b 5.943
_cell_length_c 10.021
_cell_angle_alpha 90.00
_cell_angle_beta 122.86
_cell_angle_gamma 90.00
loop_
_space_group_symop_operation_xyz
'x,y,z'
'-x,-y,-z'
'-x,y+1/2,-z+1/2'
'x,-y+1/2,z+1/2'
loop_
_atom_site_label
_atom_site_type_symbol
_atom_site_fract_x
_atom_site_fract_y
_atom_site_fract_z
_atom_site_occupancy
Ca1 Ca 0.216 0.061 0.242 1
Cd1 Cd 0.000 0.000 0.500 1
Bi1 Bi 0.500 0.000 0.000 1
O1 O 0.139 0.198 0.934 1
O2 O 0.221 0.716 0.914 1
O3 O 0.405 0.069 0.766 1
```

density: 5.77 g/cm3
E_form (uncorrected): -1.67 eV/atom


(5)
Crystalline Sm3ErTm2 at its relaxed geometry. Source: Alexandria via LeMat-Bulk, functional GGA-PBE.

```
data_Sm3ErTm2
_space_group_name_H-M_alt 'C m c m'
_space_group_IT_number 63
_space_group_name_Hall '-C 2c 2'
_cell_length_a 14.945
_cell_length_b 9.876
_cell_length_c 5.606
_cell_angle_alpha 90.00
_cell_angle_beta 90.00
_cell_angle_gamma 90.00
loop_
_atom_site_label
_atom_site_type_symbol
_atom_site_fract_x
_atom_site_fract_y
_atom_site_fract_z
_atom_site_occupancy
Sm1 Sm 0.000 0.087 0.250 1
Sm2 Sm 0.245 0.132 0.250 1
Er1 Er 0.000 0.275 0.750 1
Tm1 Tm 0.106 0.401 0.250 1
```

density: 7.68 g/cm3
energy above the lowest structure with this stoichiometry: 299 meV per atom
formation energy from the elements: 0.303 eV/atom


(6)
Crystalline AcBiRhF at its relaxed geometry. Source: Alexandria via LeMat-Bulk, functional GGA-PBE.

```
data_AcBiRhF
_space_group_name_H-M_alt 'P 4/n m m'
_space_group_IT_number 129
_cell_length_a 4.667
_cell_length_b 4.667
_cell_length_c 8.180
_cell_angle_alpha 90.00
_cell_angle_beta 90.00
_cell_angle_gamma 90.00
loop_
_space_group_symop_operation_xyz
'x,y,z'
'-x,-y,-z'
'-y+1/2,x,z'
'y+1/2,-x,-z'
'-x+1/2,-y+1/2,z'
'x+1/2,y+1/2,-z'
'y,-x+1/2,z'
'-y,x+1/2,-z'
'x+1/2,-y,-z'
'-x+1/2,y,z'
'-y,-x,-z'
'y,x,z'
'-x,y+1/2,-z'
'x,-y+1/2,z'
'y+1/2,x+1/2,-z'
'-y+1/2,-x+1/2,z'
loop_
_atom_site_label
_atom_site_type_symbol
_atom_site_fract_x
_atom_site_fract_y
_atom_site_fract_z
_atom_site_occupancy
Ac1 Ac 0.250 0.250 0.183 1
Bi1 Bi 0.250 0.250 0.674 1
Rh1 Rh 0.250 0.750 0.500 1
F1 F 0.250 0.750 0.000 1
```

density: 10.40 g/cm3
E_form (uncorrected): -1.69 eV/atom


(7)
Crystalline NaSc2AlAu at its relaxed geometry. Source: Alexandria via LeMat-Bulk, functional GGA-PBE.

```
data_NaSc2AlAu
_space_group_name_H-M_alt 'P 4/m m m'
_space_group_IT_number 123
_space_group_name_Hall '-P 4 2'
_cell_length_a 5.188
_cell_length_b 5.188
_cell_length_c 5.211
_cell_angle_alpha 90.00
_cell_angle_beta 90.00
_cell_angle_gamma 90.00
loop_
_atom_site_label
_atom_site_type_symbol
_atom_site_fract_x
_atom_site_fract_y
_atom_site_fract_z
_atom_site_occupancy
Na1 Na 0.000 0.000 0.000 1
Sc1 Sc 0.000 0.500 0.500 1
Al1 Al 0.000 0.000 0.500 1
Au1 Au 0.500 0.500 0.000 1
```

density: 3.99 g/cm3
formation energy from the elements: 0.451 eV/atom


(8)
Crystalline MgSb2H at its relaxed geometry. Source: Alexandria via LeMat-Bulk, functional GGA-PBE.

```
data_MgSb2H
_space_group_name_H-M_alt 'I -4 2 d'
_space_group_IT_number 122
_space_group_name_Hall 'I -4 2bw'
_cell_length_a 6.996
_cell_length_b 6.996
_cell_length_c 6.736
_cell_angle_alpha 90.00
_cell_angle_beta 90.00
_cell_angle_gamma 90.00
loop_
_atom_site_label
_atom_site_type_symbol
_atom_site_fract_x
_atom_site_fract_y
_atom_site_fract_z
_atom_site_occupancy
Mg1 Mg 0.000 0.000 0.000 1
Sb1 Sb 0.155 0.250 0.625 1
H1 H 0.000 0.000 0.500 1
```

density: 5.42 g/cm3
energy above the lowest structure with this stoichiometry: 0 meV per atom


(9)
Crystalline CuBiTe2 at its relaxed geometry. Source: Alexandria via LeMat-Bulk, functional GGA-PBE.

```
data_CuBiTe2
_space_group_name_H-M_alt 'P n m a'
_space_group_IT_number 62
_cell_length_a 7.115
_cell_length_b 4.441
_cell_length_c 15.664
_cell_angle_alpha 90.00
_cell_angle_beta 90.00
_cell_angle_gamma 90.00
loop_
_space_group_symop_operation_xyz
'x,y,z'
'-x,-y,-z'
'-x+1/2,-y,z+1/2'
'x+1/2,y,-z+1/2'
'x+1/2,-y+1/2,-z+1/2'
'-x+1/2,y+1/2,z+1/2'
'-x,y+1/2,-z'
'x,-y+1/2,z'
loop_
_atom_site_label
_atom_site_type_symbol
_atom_site_fract_x
_atom_site_fract_y
_atom_site_fract_z
_atom_site_occupancy
Cu1 Cu 0.243 0.250 0.172 1
Bi1 Bi 0.231 0.750 0.450 1
Te1 Te 0.106 0.250 0.327 1
Te2 Te 0.130 0.750 0.102 1
```

density: 7.08 g/cm3
E_form (uncorrected): -0.12 eV/atom


(10)
Crystalline Ca2CdSi at its relaxed geometry. Source: Alexandria via LeMat-Bulk, functional GGA-PBE.

```
data_Ca2CdSi
_space_group_name_H-M_alt 'A m m 2'
_space_group_IT_number 38
_cell_length_a 4.493
_cell_length_b 4.190
_cell_length_c 11.457
_cell_angle_alpha 90.00
_cell_angle_beta 90.00
_cell_angle_gamma 90.00
loop_
_space_group_symop_operation_xyz
'x,y,z'
'-x,-y,z'
'-x,y,z'
'x,-y,z'
'x,y+1/2,z+1/2'
'-x,-y+1/2,z+1/2'
'-x,y+1/2,z+1/2'
'x,-y+1/2,z+1/2'
loop_
_atom_site_label
_atom_site_type_symbol
_atom_site_fract_x
_atom_site_fract_y
_atom_site_fract_z
_atom_site_occupancy
Ca1 Ca 0.000 0.000 0.000 1
Ca2 Ca 0.500 0.000 0.290 1
Cd1 Cd 0.000 0.000 0.711 1
Si1 Si 0.500 0.000 0.568 1
```

density: 3.40 g/cm3
E_form (uncorrected): -0.35 eV/atom


(11)
Crystalline PrGd2Ho at its relaxed geometry. Source: Alexandria via LeMat-Bulk, functional GGA-PBE.

```
data_PrGd2Ho
_space_group_name_H-M_alt 'R -3 m'
_space_group_IT_number 166
_space_group_name_Hall '-R 3 2"'
_cell_length_a 3.6014
_cell_length_b 3.6014
_cell_length_c 35.2908
_cell_angle_alpha 90.00
_cell_angle_beta 90.00
_cell_angle_gamma 120.00
loop_
_atom_site_label
_atom_site_type_symbol
_atom_site_fract_x
_atom_site_fract_y
_atom_site_fract_z
_atom_site_occupancy
Pr1 Pr 0.0000 0.0000 0.0000 1
Gd1 Gd 0.0000 0.0000 0.2482 1
Ho1 Ho 0.0000 0.0000 0.5000 1
```

density: 7.80 g/cm3
energy above the lowest structure with this stoichiometry: 5 meV per atom
formation energy from the elements: 0.026 eV/atom


(12)
Crystalline TbNd2HoSe4 at its relaxed geometry. Source: Alexandria via LeMat-Bulk, functional GGA-PBE.

```
data_TbNd2HoSe4
_space_group_name_H-M_alt 'P 1 2/m 1'
_space_group_IT_number 10
_cell_length_a 7.128
_cell_length_b 4.086
_cell_length_c 7.346
_cell_angle_alpha 90.00
_cell_angle_beta 108.66
_cell_angle_gamma 90.00
loop_
_space_group_symop_operation_xyz
'x,y,z'
'-x,-y,-z'
'-x,y,-z'
'x,-y,z'
loop_
_atom_site_label
_atom_site_type_symbol
_atom_site_fract_x
_atom_site_fract_y
_atom_site_fract_z
_atom_site_occupancy
Tb1 Tb 0.000 0.000 0.000 1
Nd1 Nd 0.000 0.500 0.500 1
Nd2 Nd 0.500 0.000 0.500 1
Ho1 Ho 0.500 0.500 0.000 1
Se1 Se 0.247 0.500 0.236 1
Se2 Se 0.257 0.000 0.765 1
```

density: 7.60 g/cm3
E_form (uncorrected): -1.80 eV/atom